(1)
# YZrTe2 | the Alexandria database | PBE | optimized geometry
# DOS(E_F)	0.945	states/eV per atom
data_YZrTe2
_cell_length_a 4.2753
_cell_length_b 5.8801
_cell_length_c 4.3277
_cell_angle_alpha 90.00
_cell_angle_beta 90.94
_cell_angle_gamma 90.00
_symmetry_space_group_name_H-M 'P 1 m 1'
_symmetry_Int_Tables_number 6
_symmetry_space_group_name_Hall 'P -2y'
loop_
_atom_site_label
_atom_site_fract_x
_atom_site_fract_y
_atom_site_fract_z
Y1 0.0000 0.0000 0.0000
Zr1 0.3869 0.5000 0.6268
Te1 0.4930 0.0000 0.5079
Te2 0.8945 0.5000 0.1172

***

(2)
# YZrTe2 | the Alexandria database | PBE | optimized geometry
# DOS(E_F)	0.775	states/eV per atom
data_YZrTe2
_cell_length_a 10.8534
_cell_length_b 3.7598
_cell_length_c 5.1339
_cell_angle_alpha 90.00
_cell_angle_beta 98.18
_cell_angle_gamma 90.00
_symmetry_space_group_name_H-M 'C 1 m 1'
_symmetry_Int_Tables_number 8
_symmetry_space_group_name_Hall 'C -2y'
loop_
_atom_site_label
_atom_site_fract_x
_atom_site_fract_y
_atom_site_fract_z
Y1 0.0000 0.0000 0.0000
Zr1 0.2208 0.0000 0.5784
Te1 0.2275 0.5000 0.0769
Te2 0.4982 0.0000 0.5016

***

Out of the structures above, which one is the most stable? Solution: (2).